Material: Li2AsWO8
Method: DFT, PBE with a Hubbard U
State: relaxed

Summary:
energy	-5.5247	eV/atom

Lattice parameters (Å, degrees): 5.8353 5.8353 5.2512 90.00 90.00 120.00
Space group P-3m1 (No. 164)
Asymmetric unit:
Li  0.3333  0.6667  0.1553 x2
As  0.0000  0.0000  0.0000 x1
W  0.0000  0.0000  0.5000 x1
O  0.1431  0.2862  0.2423 x6
O  0.3333  0.6667  0.7600 x2